No. 1
VASP calculation (GGA-PBE) on a relaxed structure of Pm4Y3Sc.

a = 6.2781 Å, b = 7.2708 Å, c = 11.4320 Å
α = 90.00°, β = 90.00°, γ = 90.00°
With the nearest neighbours (Å) after each atom.
Fractional coordinates of all 16 atoms:
Pm 0.9841 0.1290 0.7587  1 Sc 3.46, 6 Pm 3.51-3.66, 5 Y 3.58-3.70
Pm 0.1579 0.8711 0.0000  6 Pm 3.51-3.76, 2 Sc 3.56-3.71, 4 Y 3.56-3.68
Pm 0.1381 0.8729 0.5000  6 Pm 3.51-3.76, 4 Y 3.55-3.67, 2 Sc 3.61-3.68
Pm 0.6579 0.1289 0.5000  6 Pm 3.51-3.76, 2 Sc 3.56-3.71, 4 Y 3.56-3.68
Pm 0.9841 0.1290 0.2413  1 Sc 3.46, 6 Pm 3.51-3.66, 5 Y 3.58-3.70
Pm 0.6381 0.1271 0.0000  6 Pm 3.51-3.76, 4 Y 3.55-3.67, 2 Sc 3.61-3.68
Pm 0.4841 0.8710 0.2587  1 Sc 3.46, 6 Pm 3.51-3.66, 5 Y 3.58-3.70
Pm 0.4841 0.8710 0.7413  1 Sc 3.46, 6 Pm 3.51-3.66, 5 Y 3.58-3.70
Y 0.4792 0.3792 0.2507  2 Sc 3.50-3.55, 4 Y 3.53-3.60, 6 Pm 3.55-3.70
Y 0.4792 0.3792 0.7493  2 Sc 3.50-3.55, 4 Y 3.53-3.60, 6 Pm 3.55-3.70
Y 0.6481 0.6225 0.0000  4 Y 3.53, 6 Pm 3.57-3.68, 2 Sc 3.57-3.61
Y 0.1481 0.3775 0.5000  4 Y 3.53, 6 Pm 3.57-3.68, 2 Sc 3.57-3.61
Y 0.9792 0.6208 0.7507  2 Sc 3.50-3.55, 4 Y 3.53-3.60, 6 Pm 3.55-3.70
Y 0.9792 0.6208 0.2493  2 Sc 3.50-3.55, 4 Y 3.53-3.60, 6 Pm 3.55-3.70
Sc 0.6445 0.6182 0.5000  6 Pm 3.46-3.71, 6 Y 3.50-3.61
Sc 0.1445 0.3818 0.0000  6 Pm 3.46-3.71, 6 Y 3.50-3.61

Summary:
Its raw total energy is -5.557 eV/atom. The value obtained for the size of the total moment is 0.0 μB per cell.

---

No. 2
VASP calculation (GGA-PBE) on a relaxed structure of PmYSc.

a = 3.4317 Å, b = 9.4643 Å, c = 5.9606 Å
α = 86.19°, β = 73.27°, γ = 90.08°
With the nearest neighbours (Å) after each atom.
Fractional coordinates of all 6 atoms:
Sc 0.3480 0.8123 0.0436  5 Y 3.41-3.50, 4 Pm 3.41-3.50, 2 Sc 3.43
Sc 0.5755 0.2858 0.5930  5 Y 3.41-3.50, 4 Pm 3.41-3.50, 2 Sc 3.43
Y 0.8327 0.1258 0.0765  5 Y 3.38-3.48, 5 Sc 3.41-3.50, 2 Pm 3.55
Y 0.0908 0.9723 0.5600  5 Y 3.38-3.48, 5 Sc 3.41-3.50, 2 Pm 3.55
Pm 0.3135 0.4518 0.1158  4 Sc 3.41-3.50, 5 Pm 3.43-3.75, 2 Y 3.55
Pm 0.6099 0.6462 0.5207  4 Sc 3.41-3.50, 5 Pm 3.43-3.75, 2 Y 3.55

Summary:
Its raw total energy is -5.725 eV/atom. The value obtained for the size of the total moment is 0.0 μB per cell.

---

No. 3
VASP calculation (GGA-PBE) on a relaxed structure of Pm8Y2Sc3.

a = 6.6457 Å, b = 8.8616 Å, c = 8.7134 Å
α = 120.56°, β = 98.22°, γ = 90.00°
With the nearest neighbours (Å) after each atom.
Fractional coordinates of all 13 atoms:
Y 0.7012 0.8024 0.6047  6 Pm 3.20-3.53, 3 Sc 3.45-3.58
Y 0.2988 0.1976 0.3953  6 Pm 3.20-3.53, 3 Sc 3.45-3.58
Sc 0.0000 0.1612 0.0000  1 Sc 2.86
Sc 0.5000 0.0000 0.0000  6 Pm 3.23-3.32, 2 Y 3.45
Sc 0.0000 0.8388 0.0000  1 Sc 2.86
Pm 0.5671 0.5731 0.7811  3 Pm 3.24-3.56, 2 Y 3.29-3.53, 2 Sc 3.32-3.36
Pm 0.4329 0.4269 0.2189  3 Pm 3.24-3.56, 2 Y 3.29-3.53, 2 Sc 3.32-3.36
Pm 0.9015 0.5909 0.1818  4 Pm 3.22-3.56, 2 Sc 3.41
Pm 0.8142 0.1889 0.3777  2 Y 3.20-3.45, 3 Sc 3.23-3.57, 1 Pm 3.52
Pm 0.1858 0.8111 0.6223  2 Y 3.20-3.45, 3 Sc 3.23-3.57, 1 Pm 3.52
Pm 0.0985 0.4091 0.8182  4 Pm 3.22-3.56, 2 Sc 3.41
Pm 0.4329 0.7920 0.2189  3 Pm 3.24-3.56, 2 Y 3.29-3.53, 2 Sc 3.32-3.36
Pm 0.5671 0.2080 0.7811  3 Pm 3.24-3.56, 2 Y 3.29-3.53, 2 Sc 3.32-3.36

Summary:
Its raw total energy is -5.135 eV/atom. The value obtained for the size of the total moment is 0.0 μB per cell.

---

No. 4
VASP calculation (GGA-PBE) on a relaxed structure of Pm9YSc2.

a = 5.0576 Å, b = 5.0576 Å, c = 15.1820 Å
α = 90.00°, β = 90.00°, γ = 90.00°
With the nearest neighbours (Å) after each atom.
Fractional coordinates of all 12 atoms:
Y 0.0000 0.0000 0.0000  12 Pm 3.58-3.63
Pm 0.0000 0.5000 0.1716  2 Sc 3.55, 8 Pm 3.55-3.63, 2 Y 3.63
Pm 0.5000 0.5000 0.6640  8 Pm 3.55, 4 Sc 3.58
Pm 0.5000 0.5000 0.0000  4 Y 3.58, 8 Pm 3.63
Pm 0.5000 0.5000 0.3360  8 Pm 3.55, 4 Sc 3.58
Pm 0.5000 0.0000 0.1716  2 Sc 3.55, 8 Pm 3.55-3.63, 2 Y 3.63
Pm 0.5000 0.0000 0.5000  8 Pm 3.55-3.58, 4 Sc 3.55
Pm 0.5000 0.0000 0.8284  2 Sc 3.55, 8 Pm 3.55-3.63, 2 Y 3.63
Pm 0.0000 0.5000 0.5000  8 Pm 3.55-3.58, 4 Sc 3.55
Pm 0.0000 0.5000 0.8284  2 Sc 3.55, 8 Pm 3.55-3.63, 2 Y 3.63
Sc 0.0000 0.0000 0.3355  12 Pm 3.55-3.58
Sc 0.0000 0.0000 0.6645  12 Pm 3.55-3.58

Summary:
Its raw total energy is -5.125 eV/atom. The value obtained for the size of the total moment is 0.0 μB per cell.

---

No. 5
VASP calculation (GGA-PBE) on a relaxed structure of Pm6Y3Sc.

a = 9.9074 Å, b = 9.9074 Å, c = 6.9568 Å
α = 44.60°, β = 44.60°, γ = 60.00°
With the nearest neighbours (Å) after each atom.
Fractional coordinates of all 10 atoms:
Pm 0.9317 0.6044 0.2038  2 Y 3.33-3.48, 1 Sc 3.39
Pm 0.4399 0.7682 0.6967  2 Y 3.33-3.48, 1 Sc 3.39
Pm 0.0952 0.4399 0.6967  2 Y 3.33-3.48, 1 Sc 3.39
Pm 0.7682 0.0952 0.6967  2 Y 3.33-3.48, 1 Sc 3.39
Pm 0.2601 0.9317 0.2038  2 Y 3.33-3.48, 1 Sc 3.39
Pm 0.6044 0.2601 0.2038  2 Y 3.33-3.48, 1 Sc 3.39
Y 0.6050 0.6050 0.1849  1 Sc 2.91, 1 Y 3.03
Y 0.3502 0.3502 0.9495  2 Y 3.03
Y 0.0952 0.0952 0.7145  1 Sc 2.91, 1 Y 3.03
Sc 0.8502 0.8502 0.4495  2 Y 2.91

Summary:
Its raw total energy is -5.195 eV/atom. The value obtained for the size of the total moment is 0.8 μB per cell.

---

No. 6
VASP calculation (GGA-PBE) on a relaxed structure of Pm4Y7Sc.

a = 5.3541 Å, b = 13.3058 Å, c = 6.3409 Å
α = 94.90°, β = 65.03°, γ = 78.39°
With the nearest neighbours (Å) after each atom.
Fractional coordinates of all 12 atoms:
Y 0.0423 0.3704 0.5451  5 Pm 3.50-3.82, 7 Y 3.52-3.72
Y 0.5000 0.0000 0.0000  2 Sc 2.68
Y 0.8353 0.8993 0.4300  1 Sc 3.01, 1 Y 3.29
Y 0.9577 0.6296 0.4549  5 Pm 3.50-3.82, 7 Y 3.52-3.72
Y 0.1647 0.1007 0.5700  1 Sc 3.01, 1 Y 3.29
Y 0.3262 0.5352 0.8123  2 Pm 3.41-3.70, 8 Y 3.53-3.72
Y 0.6738 0.4648 0.1877  2 Pm 3.41-3.70, 8 Y 3.53-3.72
Pm 0.7463 0.2156 0.2918  1 Sc 2.98
Pm 0.2537 0.7844 0.7082  1 Sc 2.98
Pm 0.4145 0.2628 0.9082  3 Pm 3.48-3.60, 9 Y 3.56-3.88
Pm 0.5855 0.7372 0.0918  3 Pm 3.48-3.60, 9 Y 3.56-3.88
Sc 0.0000 0.0000 0.0000  2 Y 2.68, 2 Pm 2.98

Summary:
Its raw total energy is -5.696 eV/atom. The value obtained for the size of the total moment is 0.4 μB per cell.

---

No. 7
VASP calculation (GGA-PBE) on a relaxed structure of PmYSc2.

a = 5.4566 Å, b = 5.4566 Å, c = 5.4566 Å
α = 60.00°, β = 60.00°, γ = 60.00°
With the nearest neighbours (Å) after each atom.
Fractional coordinates of all 4 atoms:
Pm 0.0000 0.0000 0.0000  8 Sc 3.34
Sc 0.2500 0.2500 0.2500  4 Pm 3.34, 4 Y 3.34
Sc 0.7500 0.7500 0.7500  4 Pm 3.34, 4 Y 3.34
Y 0.5000 0.5000 0.5000  8 Sc 3.34

Summary:
Its raw total energy is -5.888 eV/atom. The value obtained for the size of the total moment is 0.0 μB per cell.

---

No. 8
VASP calculation (GGA-PBE) on a relaxed structure of Pm2YSc8.

a = 5.5403 Å, b = 8.6985 Å, c = 8.8675 Å
α = 60.63°, β = 73.26°, γ = 54.03°
With the nearest neighbours (Å) after each atom.
Fractional coordinates of all 11 atoms:
Sc 0.7150 0.5477 0.0000  4 Sc 2.75-3.01
Sc 0.1910 0.6655 0.2387  3 Sc 3.01-3.20, 1 Pm 3.27
Sc 0.2850 0.4523 0.0000  4 Sc 2.75-3.01
Sc 0.5000 0.7945 0.4111  1 Y 3.18, 4 Pm 3.18-3.53, 6 Sc 3.38-3.46
Sc 0.8090 0.0958 0.2387  3 Sc 3.01-3.20, 1 Pm 3.27
Sc 0.1910 0.9042 0.7613  3 Sc 3.01-3.20, 1 Pm 3.27
Sc 0.8090 0.3345 0.7613  3 Sc 3.01-3.20, 1 Pm 3.27
Sc 0.5000 0.2055 0.5889  1 Y 3.18, 4 Pm 3.18-3.53, 6 Sc 3.38-3.46
Pm 0.0000 0.3069 0.3861  10 Sc 3.18-3.53
Pm 0.0000 0.6931 0.6139  10 Sc 3.18-3.53
Y 0.5000 0.0000 0.0000  4 Sc 3.18-3.38

Summary:
Its raw total energy is -5.907 eV/atom. The value obtained for the size of the total moment is 0.0 μB per cell.